Record 1
KBa2Mo | Alexandria | GGA-PBE | optimized geometry; formation enthalpy at 0 K = 0.953 eV/atom; crystal system = orthorhombic; space group = Imm2 (44)
1.0
-1.931 2.889 8.772
1.931 -2.889 8.772
1.931 2.889 -8.772
K Ba Mo
1 2 1
direct
0.000 0.000 0.000
0.331 0.831 0.500
0.669 0.669 0.000
0.820 0.320 0.500

---

Record 2
FePdBr2 | Alexandria | GGA-PBE | optimized geometry; crystal system = trigonal; formation energy (no corrections) = 0.26 eV per atom; space group = R-3m (166)
1.0
1.759 1.015 7.623
-1.759 1.015 7.623
0.000 -2.031 7.623
Fe Pd Br
1 1 2
direct
0.000 0.000 0.000
0.500 0.500 0.500
0.392 0.392 0.392
0.608 0.608 0.608

---

Record 3
Ba2CaZr | Alexandria | GGA-PBE | optimized geometry; formation enthalpy at 0 K = 0.479 eV/atom; crystal system = orthorhombic; space group = Imm2 (44)
1.0
-1.984 3.249 6.599
1.984 -3.249 6.599
1.984 3.249 -6.599
Ba Ca Zr
2 1 1
direct
0.000 0.000 0.000
0.713 0.213 0.500
0.278 0.778 0.500
0.484 0.484 0.000

---

Record 4
Ac2InTe5Au | Alexandria | GGA-PBE | optimized geometry; crystal system = orthorhombic; formation energy (no corrections) = -0.98 eV per atom; space group = Cmc2_1 (36)
1.0
2.314 -9.985 0.000
2.314 9.985 0.000
0.000 0.000 13.460
Ac In Te Au
4 2 10 2
direct
0.117 0.883 0.500
0.129 0.871 0.121
0.871 0.129 0.621
0.883 0.117 0.000
0.416 0.584 0.288
0.584 0.416 0.788
0.040 0.960 0.896
0.306 0.694 0.152
0.308 0.692 0.461
0.369 0.631 0.812
0.498 0.502 0.105
0.502 0.498 0.605
0.631 0.369 0.312
0.692 0.308 0.961
0.694 0.306 0.652
0.960 0.040 0.396
0.262 0.738 0.935
0.738 0.262 0.435